A geometry-optimized Pm3NdTm2Se6 structure, computed with PBE-GGA.

Structure (extended XYZ):
```
12
Lattice="3.569 -6.207 0.000 3.569 6.207 0.000 -2.383 0.000 6.813" Properties=species:S:1:pos:R:3 pbc="T T T"
Pm 0.000 0.000 0.000
Pm 3.569 1.959 0.000
Pm 3.569 -1.959 0.000
Nd 2.377 0.000 3.406
Tm 2.377 4.149 3.406
Tm 2.377 -4.149 3.406
Se 1.144 2.155 1.759
Se -0.096 0.000 5.005
Se 1.144 -2.155 1.759
Se 3.611 2.155 5.053
Se 4.850 0.000 1.807
Se 3.611 -2.155 5.053
```

Summary:
**Energy relative to the elements, uncorrected**: -1781.8 meV/atom
**M_tot**: 0.0 Bohr magnetons per cell
**Symmetry**: No. 12